[1]
Sr2Mg3Cd12Au after structural relaxation, computed with GGA-PBE.

abc: 6.7188 6.7188 37.2057
angles: 90.00 90.00 120.00
With the nearest neighbours (Å) after each atom.
Space group R-3m (No. 166, hexagonal axes)
Inequivalent atoms, fractional coordinates:
Sr1 0.0000 0.0000 0.1409 [6 per cell]  12 Cd 3.54-3.63
Mg1 0.0000 0.5000 0.0000 [9 per cell]  4 Cd 2.90
Cd1 0.0014 0.5007 0.1106 [18 per cell]  1 Au 2.84, 2 Cd 2.93
Cd2 0.0399 0.5199 0.6118 [18 per cell]  2 Mg 2.90, 4 Cd 2.93-2.96
Au1 0.0000 0.0000 0.5000 [3 per cell]  6 Cd 2.84

DOS at the Fermi energy (states/eV per atom): 0.64
ΔH_f (0 K) (kJ/mol of formula units): -134.1
E_tot (eV per atom): -1.322
Crystal system: trigonal

---

[2]
Sr2GdAg after structural relaxation, computed with GGA-PBE.

abc: 3.9118 3.9118 35.7086
angles: 90.00 90.00 120.00
With the nearest neighbours (Å) after each atom.
Space group R-3m (No. 166, hexagonal axes)
Inequivalent atoms, fractional coordinates:
Sr1 0.0000 0.0000 0.1021 [6 per cell]  3 Ag 3.23
Gd1 0.0000 0.0000 0.0000 [3 per cell]  2 Sr 3.65, 6 Gd 3.91
Ag1 0.0000 0.0000 0.5000 [3 per cell]  6 Sr 3.23

DOS at the Fermi energy (states/eV per atom): 2.06
ΔH_f (0 K) (kJ/mol of formula units): 88.9
E_tot (eV per atom): -4.844
Crystal system: trigonal

---

[3]
La5Ho4Sc after structural relaxation, computed with GGA-PBE.

abc: 3.7098 3.7098 24.1923
angles: 90.00 90.00 90.00
With the nearest neighbours (Å) after each atom.
Space group P4/mmm (No. 123)
Inequivalent atoms, fractional coordinates:
La1 0.0000 0.0000 0.0000 [1 per cell]  8 Ho 3.60, 4 La 3.71
La2 0.0000 0.0000 0.2044 [2 per cell]  8 Ho 3.60, 4 La 3.71
La3 0.0000 0.0000 0.4076 [2 per cell]  4 Sc 3.45, 4 Ho 3.59, 4 La 3.71
Ho1 0.5000 0.5000 0.1022 [2 per cell]  8 La 3.60, 4 Ho 3.71
Ho2 0.5000 0.5000 0.3062 [2 per cell]  8 La 3.59-3.60, 4 Ho 3.71
Sc1 0.5000 0.5000 0.5000 [1 per cell]  8 La 3.45, 4 Sc 3.71

DOS at the Fermi energy (states/eV per atom): 1.61
ΔH_f (0 K) (kJ/mol of formula units): 32.6
E_tot (eV per atom): -4.894
Crystal system: tetragonal

---

[4]
Ca2CdPb9 after structural relaxation, computed with GGA-PBE.

abc: 4.9050 4.9050 15.0302
angles: 90.00 90.00 90.00
With the nearest neighbours (Å) after each atom.
Space group P4/mmm (No. 123)
Inequivalent atoms, fractional coordinates:
Ca1 0.0000 0.0000 0.1611 [2 per cell]  12 Pb 3.45-3.59
Cd1 0.0000 0.0000 0.5000 [1 per cell]  12 Pb 3.47-3.48
Pb1 0.0000 0.5000 0.0000 [2 per cell]  4 Ca 3.45, 8 Pb 3.47-3.54
Pb2 0.0000 0.5000 0.3355 [4 per cell]  8 Pb 3.47-3.50, 2 Cd 3.48, 2 Ca 3.59
Pb3 0.5000 0.5000 0.1697 [2 per cell]  4 Ca 3.47, 8 Pb 3.50-3.54
Pb4 0.5000 0.5000 0.5000 [1 per cell]  4 Cd 3.47, 8 Pb 3.48

DOS at the Fermi energy (states/eV per atom): 0.65
ΔH_f (0 K) (kJ/mol of formula units): -206.5
E_tot (eV per atom): -3.369
Crystal system: tetragonal

---

[5]
Tb5HoEr4 after structural relaxation, computed with GGA-PBE.

abc: 3.5340 9.3338 9.9474
angles: 105.47 90.06 100.91
With the nearest neighbours (Å) after each atom.
Space group P-1 (No. 2)
Inequivalent atoms, fractional coordinates:
Tb1 0.0000 0.0000 0.0000 [1 per cell]  8 Er 3.52, 4 Tb 3.52-3.53
Tb2 0.1991 0.3987 0.5996 [2 per cell]  1 Ho 3.52, 5 Er 3.52-3.55, 6 Tb 3.53-3.54
Tb3 0.1998 0.3992 0.1000 [2 per cell]  7 Tb 3.52-3.53, 5 Er 3.53-3.54
Ho1 0.0000 0.0000 0.5000 [1 per cell]  8 Er 3.51-3.52, 2 Tb 3.52, 2 Ho 3.53
Er1 0.4008 0.8007 0.2006 [2 per cell]  3 Er 3.51-3.53, 2 Ho 3.51-3.52, 7 Tb 3.52-3.54
Er2 0.4007 0.8010 0.6999 [2 per cell]  3 Er 3.51-3.53, 2 Ho 3.52, 7 Tb 3.52-3.55

DOS at the Fermi energy (states/eV per atom): 1.32
ΔH_f (0 K) (kJ/mol of formula units): 17.9
E_tot (eV per atom): -4.579
Crystal system: triclinic

---

[6]
TcSbN2O after structural relaxation, computed with GGA-PBE.

abc: 3.9904 3.9904 3.8730
angles: 90.00 90.00 90.00
With the nearest neighbours (Å) after each atom.
Space group P4/mmm (No. 123)
Inequivalent atoms, fractional coordinates:
Tc1 0.0000 0.0000 0.0000 [1 per cell]  2 O 1.94, 4 N 2.00
Sb1 0.5000 0.5000 0.5000 [1 per cell]  8 N 2.78, 4 O 2.82
N1 0.0000 0.5000 0.0000 [2 per cell]  2 Tc 2.00
O1 0.0000 0.0000 0.5000 [1 per cell]  2 Tc 1.94

DOS at the Fermi energy (states/eV per atom): 0.38
E_tot (eV per atom): -6.954
Energy relative to the elements, uncorrected (meV per atom): 266
Crystal system: tetragonal